# BeAu2F, relaxed, DFT PBE
data_BeAu2F
_chemical_formula_sum 'Be1 Au2 F1'
_cell_length_a 4.258
_cell_length_b 4.258
_cell_length_c 4.258
_cell_angle_alpha 60.00
_cell_angle_beta 60.00
_cell_angle_gamma 60.00
_symmetry_space_group_name_H-M 'P 1'
_symmetry_Int_Tables_number 1
_symmetry_space_group_name_Hall 'P 1'
loop_
_atom_site_label
_atom_site_fract_x
_atom_site_fract_y
_atom_site_fract_z
Be1 0.000 0.000 0.000
Au1 0.250 0.250 0.250
Au2 0.750 0.750 0.750
F1 0.500 0.500 0.500
# Symmetry: Fm-3m, No. 225
# M_tot (μB/atom): 0.00
# E_form (uncorrected) (eV/atom): -0.205
# E above lowest polymorph (meV per atom): 100